1.
First-principles (PBE-GGA) data for a relaxed structure of Ac5CuPt4, as listed in Alexandria.

- ρ: 10.86 Mg/m³
- Electronic total energy: -5.8434 eV/atom
- ΔE_f: -0.96 eV per atom
- M_tot: 0.000 μB per cell

Geometry as POSCAR:
```
Ac5CuPt4
1.0
-2.1800 -3.6067 1.2504
1.5384 -2.7846 -5.3498
9.5266 -0.7407 6.7458
Ac Cu Pt
5 1 4
direct
0.6049 0.1049 0.2099
0.8010 0.3010 0.6020
0.1990 0.6990 0.3980
0.0000 0.5000 0.0000
0.3951 0.8951 0.7901
0.0000 0.0000 0.0000
0.4017 0.4017 0.8033
0.7993 0.7993 0.5986
0.2007 0.2007 0.4014
0.5983 0.5983 0.1967
```

***

2.
First-principles (PBE-GGA) data for a relaxed structure of NdLuScZn, as listed in Alexandria.

- ρ: 7.00 Mg/m³
- Electronic total energy: -4.2184 eV/atom
- ΔE_f: 0.01 eV per atom
- M_tot: 0.002 μB per cell

Geometry as POSCAR:
```
NdLuScZn
1.0
-3.8268 -3.5092 -0.7224
0.9264 -4.3567 -2.7644
0.2119 -4.6449 2.4209
Sc Zn Lu Nd
1 1 1 1
direct
0.7500 0.7500 0.7500
0.2500 0.2500 0.2500
0.5000 0.5000 0.5000
0.0000 0.0000 0.0000
```

***

3.
First-principles (PBE-GGA) data for a relaxed structure of SeS2F, as listed in Alexandria.

- ρ: 3.52 Mg/m³
- Electronic total energy: -3.1672 eV/atom
- E_form (uncorrected): 0.236 eV per atom
- Distance to the lowest polymorph of the same formula: 15.3 kJ per mole of atoms
- M_tot: 0.000 μB per cell

Geometry as POSCAR:
```
SeS2F
1.0
6.5186 0.0000 0.0000
0.0000 6.5186 0.0000
3.2593 3.2593 3.5968
S Se F
4 2 2
direct
0.6453 0.1250 0.2500
0.1047 0.6250 0.2500
0.3750 0.3547 0.7500
0.8750 0.8953 0.7500
0.0000 0.0000 0.0000
0.7500 0.2500 0.5000
0.5000 0.5000 0.0000
0.2500 0.7500 0.5000
```

***

4.
First-principles (PBE-GGA) data for a relaxed structure of Hf2S, as listed in Alexandria.

- ρ: 11.08 Mg/m³
- Electronic total energy: -9.0170 eV/atom
- E_form (uncorrected): -1.006 eV per atom
- M_tot: 0.000 μB per cell

Geometry as POSCAR:
```
Hf2S
1.0
3.4449 0.0062 -0.0070
1.7170 2.9865 -0.0166
0.0115 0.0251 5.6717
Hf S
2 1
direct
0.1667 0.6667 0.7917
0.8333 0.3333 0.2083
0.5000 0.0000 0.5000
```

***

5.
First-principles (PBE-GGA) data for a relaxed structure of ErTcMoRu, as listed in Alexandria.

- ρ: 11.43 Mg/m³
- Electronic total energy: -8.8125 eV/atom
- ΔE_f: -0.05 eV per atom
- M_tot: 0.000 μB per cell

Geometry as POSCAR:
```
ErTcMoRu
1.0
4.5623 0.0000 0.0000
2.2811 3.9510 0.0000
2.2811 1.3170 3.7251
Ru Mo Tc Er
1 1 1 1
direct
0.2500 0.2500 0.2500
0.5000 0.5000 0.5000
0.7500 0.7500 0.7500
0.0000 0.0000 0.0000
```

***

6.
First-principles (PBE-GGA) data for a relaxed structure of RbNaPb2, as listed in Alexandria.

- ρ: 4.43 Mg/m³
- Electronic total energy: -2.3659 eV/atom
- Distance to the lowest polymorph of the same formula: 17.7 kJ per mole of atoms
- ΔE_f: 0.06 eV per atom
- M_tot: 0.000 μB per cell

Geometry as POSCAR:
```
RbNaPb2
1.0
5.9197 0.0000 0.0000
0.0000 5.9197 0.0000
2.9599 2.9599 11.1981
Pb Na Rb
4 2 2
direct
0.4088 0.1250 0.2500
0.3412 0.6250 0.2500
0.3750 0.5912 0.7500
0.8750 0.6588 0.7500
0.5000 0.5000 0.0000
0.2500 0.7500 0.5000
0.0000 0.0000 0.0000
0.7500 0.2500 0.5000
```

***

7.
First-principles (PBE-GGA) data for a relaxed structure of HPtBr4, as listed in Alexandria.

- ρ: 4.43 Mg/m³
- Electronic total energy: -2.8616 eV/atom
- M_tot: 2.028 μB per cell

Geometry as POSCAR:
```
HPtBr4
1.0
-2.3421 6.0007 -1.6152
-5.8040 -0.7466 2.6393
-0.0918 4.5940 8.6555
H Pt Br
2 2 8
direct
0.2220 0.3448 0.8013
0.7780 0.6552 0.1987
0.7681 0.0459 0.3971
0.2319 0.9541 0.6029
0.3307 0.1192 0.8282
0.0619 0.6463 0.8025
0.4267 0.2582 0.4051
0.5733 0.7418 0.5949
0.9017 0.1763 0.6060
0.9381 0.3537 0.1975
0.0983 0.8237 0.3940
0.6693 0.8808 0.1718
```

***

8.
First-principles (PBE-GGA) data for a relaxed structure of GeF2, as listed in Alexandria.

- ρ: 3.53 Mg/m³
- Electronic total energy: -4.8716 eV/atom
- E_form (uncorrected): -2.085 eV per atom
- M_tot: 0.000 μB per cell

Geometry as POSCAR:
```
GeF2
1.0
4.4443 0.2872 1.2031
-1.8846 4.0351 -1.2031
-0.3384 -2.7187 5.9848
Ge F
2 4
direct
0.8073 0.0573 0.7500
0.1927 0.9427 0.2500
0.9361 0.5872 0.8660
0.0639 0.4128 0.1340
0.2212 0.0701 0.6340
0.7788 0.9299 0.3660
```

***

9.
First-principles (PBE-GGA) data for a relaxed structure of MnTcOs2, as listed in Alexandria.

- ρ: 16.05 Mg/m³
- Electronic total energy: -10.4294 eV/atom
- Distance to the lowest polymorph of the same formula: 0.5 kJ per mole of atoms
- ΔE_f: 0.07 eV per atom
- M_tot: 1.165 μB per cell

Geometry as POSCAR:
```
MnTcOs2
1.0
-0.7451 -4.5026 -0.9572
4.0009 -1.9879 -1.3366
-1.0875 2.6116 3.7070
Mn Os Tc
1 2 1
direct
0.7500 0.2500 0.5000
0.0000 0.0000 0.0000
0.2500 0.7500 0.5000
0.5000 0.5000 0.0000
```

***

10.
First-principles (PBE-GGA) data for a relaxed structure of CeThPaTl, as listed in Alexandria.

- ρ: 11.82 Mg/m³
- Electronic total energy: -6.1026 eV/atom
- ΔE_f: 0.20 eV per atom
- M_tot: 2.554 μB per cell

Geometry as POSCAR:
```
CeThPaTl
1.0
-1.8185 -2.0148 -4.7078
0.7579 -5.2494 -1.1824
-4.2279 -3.4135 -0.0422
Tl Pa Ce Th
1 1 1 1
direct
0.2500 0.2500 0.2500
0.7500 0.7500 0.7500
0.5000 0.5000 0.5000
0.0000 0.0000 0.0000
```

***

11.
First-principles (PBE-GGA) data for a relaxed structure of ScAlTc2, as listed in Alexandria.

- ρ: 7.01 Mg/m³
- Electronic total energy: -7.8447 eV/atom
- Distance to the lowest polymorph of the same formula: 15.8 kJ per mole of atoms
- ΔE_f: -0.14 eV per atom
- M_tot: 0.000 μB per cell

Geometry as POSCAR:
```
ScAlTc2
1.0
-3.9197 -1.1728 -0.6864
1.2726 -2.9396 -2.2444
0.1482 -2.3311 3.1372
Sc Tc Al
1 2 1
direct
0.5000 0.0000 0.5000
0.0000 0.0000 0.0000
0.0000 0.5000 0.5000
0.5000 0.5000 0.0000
```

***

12.
First-principles (PBE-GGA) data for a relaxed structure of Y2PtBr, as listed in Alexandria.

- ρ: 6.21 Mg/m³
- Electronic total energy: -5.8739 eV/atom
- E_form (uncorrected): -0.713 eV per atom
- Distance to the lowest polymorph of the same formula: 51.3 kJ per mole of atoms
- M_tot: 0.906 μB per cell

Geometry as POSCAR:
```
Y2PtBr
1.0
10.0391 0.0301 0.0178
9.3174 3.7378 0.0178
9.3174 1.8137 3.2683
Y Br Pt
2 1 1
direct
0.0148 0.0148 0.0148
0.2406 0.2406 0.2406
0.5086 0.5086 0.5086
0.7361 0.7361 0.7361
```

***

13.
First-principles (PBE-GGA) data for a relaxed structure of TbHo2Tl2Cd2, as listed in Alexandria.

- ρ: 9.90 Mg/m³
- Electronic total energy: -3.0354 eV/atom
- ΔE_f: -0.13 eV per atom
- M_tot: 0.000 μB per cell

Geometry as POSCAR:
```
TbHo2Tl2Cd2
1.0
-1.7376 4.6428 -0.7321
-4.1187 1.5416 2.4022
2.9368 4.9234 7.1024
Tb Ho Tl Cd
1 2 2 2
direct
0.0000 0.0000 0.0000
0.1334 0.1334 0.5999
0.8666 0.8666 0.4001
0.7299 0.7299 0.8104
0.2701 0.2701 0.1896
0.5703 0.5703 0.2892
0.4297 0.4297 0.7108
```

***

14.
First-principles (PBE-GGA) data for a relaxed structure of Pr4Nd3Y8, as listed in Alexandria.

- ρ: 5.46 Mg/m³
- Electronic total energy: -5.5519 eV/atom
- Distance to the lowest polymorph of the same formula: 0.0 kJ per mole of atoms
- ΔE_f: 0.12 eV per atom
- M_tot: 0.000 μB per cell

Geometry as POSCAR:
```
Pr4Nd3Y8
1.0
6.2300 0.0000 3.3600
2.2090 5.8253 3.3600
-2.5888 -1.7870 12.2560
Pr Nd Y
4 3 8
direct
0.0000 0.0000 0.0000
0.3359 0.3359 0.9922
0.5000 0.5000 0.5000
0.6641 0.6641 0.0078
0.5000 0.0000 0.5000
0.0000 0.0000 0.5000
0.0000 0.5000 0.5000
0.2456 0.2456 0.2633
0.2495 0.7504 0.2498
0.7504 0.7504 0.2498
0.7504 0.2495 0.2498
0.7544 0.7544 0.7367
0.7505 0.2496 0.7502
0.2496 0.2496 0.7502
0.2496 0.7505 0.7502
```

***

15.
First-principles (PBE-GGA) data for a relaxed structure of IrPb2N, as listed in Alexandria.

- ρ: 12.02 Mg/m³
- Electronic total energy: -5.3468 eV/atom
- E_form (uncorrected): 0.804 eV per atom
- M_tot: 0.000 μB per cell

Geometry as POSCAR:
```
IrPb2N
1.0
-3.8071 -1.4144 4.8560
-1.7780 -5.3158 -2.9422
0.4071 -5.4824 2.8487
Pb Ir N
4 2 2
direct
0.5768 0.1250 0.2500
0.1732 0.6250 0.2500
0.3750 0.4232 0.7500
0.8750 0.8268 0.7500
0.0000 0.0000 0.0000
0.7500 0.2500 0.5000
0.5000 0.5000 0.0000
0.2500 0.7500 0.5000
```

***

16.
First-principles (PBE-GGA) data for a relaxed structure of Tm6InRu, as listed in Alexandria.

- ρ: 8.57 Mg/m³
- Electronic total energy: -4.9079 eV/atom
- ΔE_f: -0.05 eV per atom
- M_tot: 0.005 μB per cell

Geometry as POSCAR:
```
Tm6InRu
1.0
-1.1697 -5.1834 -3.5026
3.6213 -2.3216 4.6905
-5.4459 0.4734 3.0192
Tm In Ru
6 1 1
direct
0.2163 0.2163 0.6317
0.5836 0.2027 0.2078
0.7837 0.7837 0.3683
0.7973 0.4164 0.7922
0.4164 0.7973 0.7922
0.2027 0.5836 0.2078
0.0000 0.0000 0.0000
0.5000 0.5000 0.5000
```

***

17.
First-principles (PBE-GGA) data for a relaxed structure of KPbW2S, as listed in Alexandria.

- ρ: 9.28 Mg/m³
- Electronic total energy: -5.9666 eV/atom
- E_form (uncorrected): 1.001 eV per atom
- M_tot: 0.000 μB per cell

Geometry as POSCAR:
```
KPbW2S
1.0
4.5324 0.0000 0.0000
0.0000 5.6291 0.0000
0.0000 0.0000 4.5324
Pb K S W
1 1 1 2
direct
0.5000 0.5000 0.5000
0.0000 0.5000 0.0000
0.0000 0.0000 0.0000
0.0000 0.0000 0.5000
0.5000 0.0000 0.0000
```

***

18.
First-principles (PBE-GGA) data for a relaxed structure of Tb2CePd, as listed in Alexandria.

- ρ: 8.41 Mg/m³
- Electronic total energy: -5.1706 eV/atom
- Distance to the lowest polymorph of the same formula: 27.7 kJ per mole of atoms
- ΔE_f: -0.07 eV per atom
- M_tot: 0.687 μB per cell

Geometry as POSCAR:
```
Tb2CePd
1.0
-2.9404 -1.1029 -1.4404
-0.0888 -0.7811 -3.3644
1.6863 -10.8103 0.6912
Tb Pd Ce
2 1 1
direct
0.1027 0.1027 0.6918
0.8973 0.8973 0.3082
0.5000 0.5000 0.5000
0.0000 0.0000 0.0000
```

***

19.
First-principles (PBE-GGA) data for a relaxed structure of ZrCr2Fe, as listed in Alexandria.

- ρ: 7.29 Mg/m³
- Electronic total energy: -8.9323 eV/atom
- Distance to the lowest polymorph of the same formula: 0.0 kJ per mole of atoms
- ΔE_f: 0.13 eV per atom
- M_tot: 2.086 μB per cell

Geometry as POSCAR:
```
ZrCr2Fe
1.0
2.9210 0.0000 0.0000
0.0000 2.9210 0.0000
0.0000 0.0000 6.7024
Cr Fe Zr
2 1 1
direct
0.0000 0.0000 0.0489
0.5000 0.5000 0.2482
0.0000 0.0000 0.4496
0.5000 0.5000 0.7533
```

***

20.
First-principles (PBE-GGA) data for a relaxed structure of Tm5Si2Se2, as listed in Alexandria.

- ρ: 8.74 Mg/m³
- Electronic total energy: -5.5743 eV/atom
- E_form (uncorrected): -1.111 eV per atom
- M_tot: 0.002 μB per cell

Geometry as POSCAR:
```
Tm5Si2Se2
1.0
-0.6033 -4.3360 -6.0256
7.4766 0.0838 -0.8089
0.2129 -8.0078 1.1381
Tm Si Se
10 4 4
direct
0.0000 0.0000 0.0000
0.5000 0.5000 0.0000
0.4658 0.1646 0.7355
0.7986 0.8354 0.7355
0.2986 0.6646 0.7355
0.9658 0.3354 0.7355
0.5342 0.8354 0.2645
0.2014 0.1646 0.2645
0.7014 0.3354 0.2645
0.0342 0.6646 0.2645
0.1303 0.3704 0.0000
0.8697 0.6296 0.0000
0.3697 0.8704 0.0000
0.6303 0.1296 0.0000
0.2017 0.0000 0.5965
0.7017 0.5000 0.5965
0.7983 0.0000 0.4035
0.2983 0.5000 0.4035
```